Compound: CuAgW2Se
Source: the Alexandria database
Functional: PBE-GGA
Structure: relaxed

a b c (Å): 4.9455 4.8984 4.9455
angles (deg): 90.00 90.00 90.00
With the nearest neighbours (Å) after each atom.
Element x y z (fractional)
Ag 0.0000 0.0000 0.0000  2 Se 2.45, 4 W 2.47
Se 0.0000 0.5000 0.0000  2 Ag 2.45
W 0.5000 0.0000 0.0000  2 Ag 2.47
W 0.0000 0.0000 0.5000  2 Ag 2.47
Cu 0.5000 0.5000 0.5000  8 W 3.48, 4 Se 3.50

D(E_F) = 6.83 states/eV/f.u.
Formation energy (no corrections) = 2685 meV/atom
Theoretical density = 8.6 Mg/m³

---

Compound: YCuAg2Se4
Source: the Alexandria database
Functional: PBE-GGA
Structure: relaxed

a b c (Å): 3.9787 7.1757 12.9900
angles (deg): 90.00 90.00 106.10
With the nearest neighbours (Å) after each atom.
Element x y z (fractional)
Cu 0.8311 0.6621 0.7500  4 Se 2.45-2.47
Cu 0.1689 0.3379 0.2500  4 Se 2.45-2.47
Ag 0.3715 0.7430 0.9403  4 Se 2.61-2.77
Ag 0.3715 0.7430 0.5597  4 Se 2.61-2.77
Ag 0.6285 0.2570 0.0597  4 Se 2.61-2.77
Ag 0.6285 0.2570 0.4403  4 Se 2.61-2.77
Y 0.9060 0.8121 0.2500  6 Se 2.91-2.94
Y 0.0940 0.1879 0.7500  6 Se 2.91-2.94
Se 0.0000 0.0000 0.5000  4 Ag 2.77
Se 0.5630 0.1259 0.2500  2 Cu 2.47, 2 Ag 2.63
Se 0.6962 0.3924 0.6277  1 Cu 2.45, 1 Ag 2.61
Se 0.3038 0.6076 0.3723  1 Cu 2.45, 1 Ag 2.61
Se 0.0000 0.0000 0.0000  4 Ag 2.77
Se 0.3038 0.6076 0.1277  1 Cu 2.45, 1 Ag 2.61
Se 0.6962 0.3924 0.8723  1 Cu 2.45, 1 Ag 2.61
Se 0.4370 0.8741 0.7500  2 Cu 2.47, 2 Ag 2.63

D(E_F) = 3.78 states/eV/f.u.
Formation energy (no corrections) = -551 meV/atom
Theoretical density = 6.4 Mg/m³

---

Compound: Zr2CuAg2Se6
Source: the Alexandria database
Functional: PBE-GGA
Structure: relaxed

a b c (Å): 6.6390 6.6390 9.3801
angles (deg): 110.77 110.77 120.09
With the nearest neighbours (Å) after each atom.
Element x y z (fractional)
Ag 0.1662 0.8338 0.0000  6 Se 2.85-2.87
Ag 0.8338 0.1662 0.0000  6 Se 2.85-2.87
Se 0.5553 0.2340 0.7333  1 Cu 2.63, 2 Zr 2.73, 2 Ag 2.85-2.87
Se 0.0873 0.0873 0.2672  1 Cu 2.63, 2 Zr 2.73, 2 Ag 2.87
Se 0.4447 0.7660 0.2667  1 Cu 2.63, 2 Zr 2.73, 2 Ag 2.85-2.87
Se 0.2340 0.5553 0.7333  1 Cu 2.63, 2 Zr 2.73, 2 Ag 2.85-2.87
Se 0.9127 0.9127 0.7328  1 Cu 2.63, 2 Zr 2.73, 2 Ag 2.87
Se 0.7660 0.4447 0.2667  1 Cu 2.63, 2 Zr 2.73, 2 Ag 2.85-2.87
Cu 0.0000 0.0000 0.5000  6 Se 2.63
Zr 0.6665 0.3335 0.5000  6 Se 2.73
Zr 0.3335 0.6665 0.5000  6 Se 2.73

D(E_F) = 7.42 states/eV/f.u.
Formation energy (no corrections) = -693 meV/atom
Theoretical density = 6.2 Mg/m³

---

Compound: ZrCuAg2Se
Source: the Alexandria database
Functional: PBE-GGA
Structure: relaxed

a b c (Å): 4.7518 4.6406 4.7518
angles (deg): 90.00 90.00 90.00
With the nearest neighbours (Å) after each atom.
Element x y z (fractional)
Ag 0.5000 0.0000 0.0000  2 Cu 2.38
Ag 0.0000 0.0000 0.5000  2 Cu 2.38
Zr 0.5000 0.5000 0.5000  8 Ag 3.32, 4 Se 3.36
Cu 0.0000 0.0000 0.0000  2 Se 2.32, 4 Ag 2.38
Se 0.0000 0.5000 0.0000  2 Cu 2.32

D(E_F) = 4.82 states/eV/f.u.
Formation energy (no corrections) = 438 meV/atom
Theoretical density = 7.1 Mg/m³

---

theoretical density of number 3 (Zr2CuAg2Se6)? 6.2 Mg/m³

---

Which of these has the lowest formation energy (no corrections)? Zr2CuAg2Se6

---

What is the theoretical density in the third record? 6.2 Mg/m³